No. 1
# Hg3AsCl2

A relaxed structure of Hg3AsCl2 (PBE, the Alexandria database).

Unit cell a=8.453 b=8.483 c=8.519 alpha=75.02 beta=60.88 gamma=110.65
Fractional positions:
Cl  0.661  0.196  0.042
Hg  0.330  0.134  0.100
Hg  0.670  0.866  0.900
Hg  0.974  0.286  0.402
Cl  0.330  0.567  0.442
Hg  0.177  0.267  0.768
As  0.008  0.895  0.831
Hg  0.823  0.733  0.232
Cl  0.670  0.433  0.558
As  0.992  0.105  0.169
Cl  0.339  0.804  0.958
Hg  0.026  0.714  0.598

Magnetic moment ... 0.000 μB per atom
ΔE_f (raw) ... -0.266 eV/atom
Volume ... 35.394 A^3/atom
E above lowest polymorph ... 0 meV/atom

=====

No. 2
# Hg2AsCl

A relaxed structure of Hg2AsCl (PBE, the Alexandria database).

Unit cell a=3.172 b=5.053 c=5.834 alpha=90.00 beta=90.00 gamma=90.00
Fractional positions:
Hg  0.000  0.000  0.000
Hg  0.500  0.500  0.000
Cl  0.000  0.500  0.500
As  0.500  0.000  0.500

Magnetic moment ... 0.000 μB per atom
Fermi-level density of states ... 1.67 states/eV per cell
ΔE_f (raw) ... 0.222 eV/atom
Volume ... 23.376 A^3/atom
E above lowest polymorph ... 489 meV/atom

=====

No. 3
# Hg4As5Cl2

A relaxed structure of Hg4As5Cl2 (PBE, the Alexandria database).

Unit cell a=7.947 b=8.375 c=10.414 alpha=66.29 beta=37.93 gamma=90.00
Fractional positions:
As  0.272  0.246  0.077
Hg  0.148  0.752  0.497
Cl  0.356  0.184  0.631
As  0.272  0.677  0.077
Cl  0.644  0.816  0.369
As  0.728  0.754  0.923
Hg  0.489  0.635  0.730
As  0.728  0.323  0.923
Hg  0.852  0.248  0.503
Hg  0.511  0.365  0.270
As  0.500  0.000  0.000

Magnetic moment ... 0.000 μB per atom
Fermi-level density of states ... 2.45 states/eV per cell
ΔE_f (raw) ... 0.012 eV/atom
Volume ... 29.301 A^3/atom

=====

No. 4
# HgAsCl2

A relaxed structure of HgAsCl2 (PBE, the Alexandria database).

Unit cell a=8.038 b=8.038 c=8.136 alpha=60.40 beta=60.40 gamma=90.00
Fractional positions:
Hg  0.000  0.000  0.000
Cl  0.375  0.625  0.750
Cl  0.375  0.625  0.250
As  0.500  0.500  0.000
Cl  0.375  0.125  0.250
Cl  0.875  0.625  0.750
As  0.250  0.750  0.500
Hg  0.750  0.250  0.500

Magnetic moment ... 0.239 μB per atom
Fermi-level density of states ... 2.70 states/eV per cell
ΔE_f (raw) ... -0.099 eV/atom
Volume ... 47.018 A^3/atom
E above lowest polymorph ... 198 meV/atom

=====

No. 5
# Hg2AsCl

A relaxed structure of Hg2AsCl (PBE, the Alexandria database).

Unit cell a=5.055 b=5.055 c=5.055 alpha=60.00 beta=60.00 gamma=60.00
Fractional positions:
As  0.500  0.500  0.500
Hg  0.250  0.250  0.250
Cl  0.750  0.750  0.750
Hg  0.000  0.000  0.000

Magnetic moment ... 0.000 μB per atom
Fermi-level density of states ... 3.59 states/eV per cell
ΔE_f (raw) ... 0.295 eV/atom
Volume ... 22.833 A^3/atom
E above lowest polymorph ... 561 meV/atom

=====

No. 6
# HgAsCl2

A relaxed structure of HgAsCl2 (PBE, the Alexandria database).

Unit cell a=10.024 b=10.024 c=10.024 alpha=19.37 beta=19.37 gamma=19.37
Fractional positions:
Cl  0.921  0.921  0.921
Hg  0.500  0.500  0.500
As  0.000  0.000  0.000
Cl  0.079  0.079  0.079

Magnetic moment ... 0.000 μB per atom
Fermi-level density of states ... 2.36 states/eV per cell
ΔE_f (raw) ... -0.091 eV/atom
Volume ... 24.205 A^3/atom
E above lowest polymorph ... 207 meV/atom

=====

No. 7
# Hg3AsCl

A relaxed structure of Hg3AsCl (PBE, the Alexandria database).

Unit cell a=10.661 b=10.661 c=10.661 alpha=95.22 beta=95.22 gamma=95.22
Fractional positions:
Cl  0.204  0.322  0.817
Hg  0.197  0.529  0.040
Cl  0.183  0.796  0.678
Cl  0.678  0.183  0.796
Cl  0.817  0.204  0.322
Hg  0.655  0.331  0.119
Hg  0.822  0.073  0.625
Hg  0.803  0.471  0.960
Hg  0.529  0.040  0.197
Cl  0.796  0.678  0.183
Hg  0.669  0.881  0.345
Hg  0.375  0.178  0.927
As  0.834  0.571  0.752
Hg  0.625  0.822  0.073
As  0.429  0.248  0.166
Hg  0.119  0.655  0.331
Cl  0.322  0.817  0.204
As  0.248  0.166  0.429
As  0.752  0.834  0.571
Hg  0.345  0.669  0.881
As  0.166  0.429  0.248
Hg  0.073  0.625  0.822
Hg  0.471  0.960  0.803
Hg  0.178  0.927  0.375
Hg  0.960  0.803  0.471
Hg  0.927  0.375  0.178
Hg  0.040  0.197  0.529
Hg  0.881  0.345  0.669
Hg  0.331  0.119  0.655
As  0.571  0.752  0.834

Magnetic moment ... 0.000 μB per atom
ΔE_f (raw) ... -0.107 eV/atom
Volume ... 39.858 A^3/atom
E above lowest polymorph ... 21 meV/atom

=====

No. 8
# HgAsCl2

A relaxed structure of HgAsCl2 (PBE, the Alexandria database).

Unit cell a=10.257 b=10.257 c=10.257 alpha=18.73 beta=18.73 gamma=18.73
Fractional positions:
As  0.500  0.500  0.500
Cl  0.899  0.899  0.899
Hg  0.000  0.000  0.000
Cl  0.101  0.101  0.101

Magnetic moment ... 0.000 μB per atom
Fermi-level density of states ... 2.99 states/eV per cell
ΔE_f (raw) ... 0.026 eV/atom
Volume ... 24.295 A^3/atom
E above lowest polymorph ... 324 meV/atom